The following is a DFT calculation (PBE) of crystalline AlSn2HgBr at its relaxed geometry.

Values from the calculation:
Space-group type: P4/mmm
Total magnetic moment (μB per formula unit): 0.00
Raw formation energy (eV per atom): 0.161

abc: 5.4003 5.2842 5.4003
angles: 90.00 90.00 90.00
Fractional coordinates of all 5 atoms:
Br (0.5000, 0.5000, 0.5000)
Al (0.0000, 0.0000, 0.0000)
Sn (0.5000, 0.0000, 0.0000)
Hg (0.0000, 0.5000, 0.0000)
Sn (0.0000, 0.0000, 0.5000)



The following is a DFT calculation (PBE) of crystalline CeSeS at its relaxed geometry.

Values from the calculation:
Space-group type: F-43m
ΔE to the lowest computed polymorph (meV per atom): 57
Total magnetic moment (μB per formula unit): 0.00
Raw formation energy (eV per atom): -1.660

abc: 4.7597 4.7597 4.7597
angles: 60.00 60.00 60.00
Fractional coordinates of all 3 atoms:
Ce (0.2500, 0.2500, 0.2500)
S (0.5000, 0.5000, 0.5000)
Se (0.0000, 0.0000, 0.0000)



The following is a DFT calculation (PBE) of crystalline MnSi2 at its relaxed geometry.

Values from the calculation:
Space-group type: I4/mcm
Total magnetic moment (μB per formula unit): 0.00
Raw formation energy (eV per atom): -0.239

abc: 4.6453 4.6453 4.6453
angles: 104.54 104.54 119.87
Fractional coordinates of all 6 atoms:
Si (0.3467, 0.8467, 0.1934)
Mn (0.2500, 0.2500, 0.0000)
Mn (0.7500, 0.7500, 0.0000)
Si (0.8467, 0.6533, 0.5000)
Si (0.1533, 0.3467, 0.5000)
Si (0.6533, 0.1533, 0.8066)